# 1
MnNbTcS2 | Alexandria via LeMat-Bulk | PBEsol | relaxed; raw formation energy = 5.5 eV/f.u.
1.0
-0.411 0.472 4.614
3.098 -3.419 0.626
3.566 3.229 -0.013
S Mn Nb Tc
2 1 1 1
Direct
0.500 0.000 0.000
0.000 0.500 0.000
0.000 0.000 0.500
0.000 0.000 0.000
0.500 0.500 0.500

=====

# 2
Sc2MnNb | Alexandria via LeMat-Bulk | PBEsol | relaxed; calculated total energy = -32.34 eV for the cell shown
1.0
-3.635 -2.935 -0.558
0.307 -3.572 -3.047
0.283 -4.422 1.580
Sc Nb Mn
2 1 1
Direct
0.250 0.250 0.250
0.750 0.750 0.750
0.500 0.500 0.500
0.000 0.000 0.000

=====

# 3
MnNb4Se8 | Alexandria via LeMat-Bulk | PBEsol | relaxed; raw formation energy = -11.4 eV/f.u.
1.0
-6.445 -1.391 -2.041
3.194 -4.203 4.447
-4.452 6.678 9.508
Se Mn Nb
16 2 8
Direct
0.661 0.830 0.118
0.830 0.170 0.882
0.667 0.333 0.110
0.333 0.667 0.890
0.170 0.339 0.118
0.339 0.170 0.618
0.339 0.170 0.882
0.830 0.661 0.618
0.170 0.830 0.118
0.170 0.830 0.382
0.333 0.667 0.610
0.830 0.661 0.882
0.170 0.339 0.382
0.661 0.830 0.382
0.830 0.170 0.618
0.667 0.333 0.390
0.000 0.000 0.500
0.000 0.000 0.000
0.491 0.509 0.750
0.000 0.000 0.250
0.509 0.017 0.250
0.983 0.491 0.250
0.509 0.491 0.250
0.017 0.509 0.750
0.491 0.983 0.750
0.000 0.000 0.750

=====

# 4
MnNbSi | Alexandria via LeMat-Bulk | PBEsol | relaxed; raw formation energy = -1.8 eV/f.u.
1.0
3.451 0.000 0.000
0.000 6.368 0.000
0.000 -3.184 5.515
Si Mn Nb
3 3 3
Direct
0.500 0.000 0.000
0.000 0.333 0.667
0.000 0.667 0.333
0.000 0.000 0.245
0.000 0.755 0.755
0.000 0.245 0.000
0.500 0.589 0.000
0.500 0.000 0.589
0.500 0.411 0.411